[1]
{"formula": "SnSbPt3", "functional": "PBE-GGA", "state": "optimized geometry", "spacegroup": "R-3c (167)", "energy_ev_per_cell": -37.5, "lattice": [[4.343, 2.507, 5.994], [-4.343, 2.507, 5.994], [0.000, -5.015, 5.994]], "species": ["Sn", "Sn", "Sb", "Sb", "Pt", "Pt", "Pt", "Pt", "Pt", "Pt"], "fractional_positions": [[0.000, 0.000, 0.000], [0.500, 0.500, 0.500], [0.250, 0.250, 0.250], [0.750, 0.750, 0.750], [0.138, 0.750, 0.362], [0.250, 0.638, 0.862], [0.362, 0.138, 0.750], [0.638, 0.862, 0.250], [0.750, 0.362, 0.138], [0.862, 0.250, 0.638]]}

[2]
{"formula": "Sn14Sb11Pt8", "functional": "PBE-GGA", "state": "optimized geometry", "spacegroup": "P1 (1)", "energy_ev_per_cell": -161.2, "lattice": [[9.467, 0.000, 0.000], [-0.034, 9.499, 0.000], [-0.045, -0.051, 9.541]], "species": ["Sn", "Sn", "Sn", "Sn", "Sn", "Sn", "Sn", "Sn", "Sn", "Sn", "Sn", "Sn", "Sn", "Sn", "Sb", "Sb", "Sb", "Sb", "Sb", "Sb", "Sb", "Sb", "Sb", "Sb", "Sb", "Pt", "Pt", "Pt", "Pt", "Pt", "Pt", "Pt", "Pt"], "fractional_positions": [[0.000, 0.000, 0.000], [0.000, 0.846, 0.343], [0.152, 0.663, 0.684], [0.154, 0.357, 0.683], [0.307, 0.841, 0.344], [0.313, 0.003, 0.998], [0.491, 0.353, 0.842], [0.495, 0.504, 0.192], [0.649, 0.173, 0.210], [0.654, 0.158, 0.518], [0.680, 0.087, 0.907], [0.806, 0.673, 0.841], [0.815, 0.505, 0.498], [0.820, 0.364, 0.834], [0.002, 0.006, 0.691], [0.151, 0.351, 0.995], [0.152, 0.661, 0.998], [0.307, 0.155, 0.340], [0.315, 0.005, 0.692], [0.498, 0.503, 0.499], [0.500, 0.664, 0.845], [0.653, 0.855, 0.185], [0.654, 0.853, 0.497], [0.808, 0.503, 0.190], [0.997, 0.158, 0.338], [0.399, 0.255, 0.591], [0.400, 0.256, 0.094], [0.404, 0.753, 0.094], [0.406, 0.756, 0.594], [0.900, 0.253, 0.089], [0.901, 0.751, 0.095], [0.902, 0.760, 0.592], [0.910, 0.253, 0.589]]}

[3]
{"formula": "SnSbPt2", "functional": "PBE-GGA", "state": "optimized geometry", "spacegroup": "Pmc2_1 (26)", "energy_ev_per_cell": -44.5, "lattice": [[4.183, 0.000, 0.000], [0.000, 7.232, 0.000], [0.000, 0.000, 5.545]], "species": ["Sn", "Sn", "Sb", "Sb", "Pt", "Pt", "Pt", "Pt"], "fractional_positions": [[0.000, 0.165, 0.000], [0.000, 0.835, 0.500], [0.500, 0.332, 0.501], [0.500, 0.668, 0.001], [0.000, 0.499, 0.252], [0.000, 0.501, 0.752], [0.500, 0.000, 0.250], [0.500, 0.000, 0.750]]}

[4]
{"formula": "SrSnSbPt2", "functional": "PBE-GGA", "state": "optimized geometry", "spacegroup": "P2_1/m (11)", "energy_ev_per_cell": -51.7, "lattice": [[4.900, 0.000, 0.000], [0.000, 4.751, 0.000], [-0.536, 0.000, 10.271]], "species": ["Sr", "Sr", "Sn", "Sn", "Sb", "Sb", "Pt", "Pt", "Pt", "Pt"], "fractional_positions": [[0.238, 0.250, 0.247], [0.762, 0.750, 0.753], [0.303, 0.250, 0.886], [0.697, 0.750, 0.114], [0.247, 0.750, 0.497], [0.753, 0.250, 0.503], [0.183, 0.750, 0.998], [0.266, 0.250, 0.624], [0.734, 0.750, 0.376], [0.817, 0.250, 0.002]]}

[5]
{"formula": "SrSnSbPt2", "functional": "PBE-GGA", "state": "optimized geometry", "spacegroup": "P4/nmm (129)", "energy_ev_per_cell": -51.8, "lattice": [[4.667, 0.000, 0.000], [0.000, 4.667, 0.000], [0.000, 0.000, 10.829]], "species": ["Sr", "Sr", "Sn", "Sn", "Sb", "Sb", "Pt", "Pt", "Pt", "Pt"], "fractional_positions": [[0.250, 0.250, 0.241], [0.750, 0.750, 0.759], [0.250, 0.750, 0.500], [0.750, 0.250, 0.500], [0.250, 0.250, 0.874], [0.750, 0.750, 0.126], [0.250, 0.250, 0.630], [0.250, 0.750, 0.000], [0.750, 0.250, 0.000], [0.750, 0.750, 0.370]]}

[6]
{"formula": "SrSnSbPt2", "functional": "PBE-GGA", "state": "optimized geometry", "spacegroup": "P2_1/m (11)", "energy_ev_per_cell": -51.9, "lattice": [[4.748, 0.000, 0.000], [0.000, 4.652, 0.000], [-0.389, 0.000, 10.672]], "species": ["Sr", "Sr", "Sn", "Sn", "Sb", "Sb", "Pt", "Pt", "Pt", "Pt"], "fractional_positions": [[0.238, 0.250, 0.244], [0.762, 0.750, 0.756], [0.247, 0.750, 0.498], [0.753, 0.250, 0.502], [0.295, 0.250, 0.878], [0.705, 0.750, 0.122], [0.193, 0.750, 0.998], [0.263, 0.250, 0.629], [0.737, 0.750, 0.371], [0.807, 0.250, 0.002]]}

[7]
{"formula": "SrSbPt2", "functional": "PBE-GGA", "state": "optimized geometry", "spacegroup": "P-6m2 (187)", "energy_ev_per_cell": -19.9, "lattice": [[4.475, 0.000, 0.000], [-2.237, 3.875, 0.000], [0.000, 0.000, 5.552]], "species": ["Sr", "Sb", "Pt", "Pt"], "fractional_positions": [[0.000, 0.000, 0.000], [0.333, 0.667, 0.500], [0.667, 0.333, 0.262], [0.667, 0.333, 0.738]]}

[8]
{"formula": "Ta3Sb5Pt5", "functional": "PBE-GGA", "state": "optimized geometry", "spacegroup": "C2 (5)", "energy_ev_per_cell": -92.3, "lattice": [[6.908, -3.167, 0.000], [6.908, 3.167, 0.000], [-6.869, 0.000, 6.926]], "species": ["Ta", "Ta", "Ta", "Sb", "Sb", "Sb", "Sb", "Sb", "Pt", "Pt", "Pt", "Pt", "Pt"], "fractional_positions": [[0.000, 0.000, 0.000], [0.195, 0.204, 0.598], [0.796, 0.805, 0.402], [0.105, 0.127, 0.826], [0.322, 0.332, 0.423], [0.508, 0.492, 0.000], [0.668, 0.678, 0.577], [0.873, 0.895, 0.174], [0.049, 0.560, 0.883], [0.204, 0.796, 0.500], [0.440, 0.951, 0.117], [0.653, 0.122, 0.695], [0.878, 0.347, 0.305]]}

[9]
{"formula": "Ta6SbPt", "functional": "PBE-GGA", "state": "optimized geometry", "spacegroup": "Pm-3 (200)", "energy_ev_per_cell": -82.9, "lattice": [[5.247, 0.000, 0.000], [0.000, 5.247, 0.000], [0.000, 0.000, 5.247]], "species": ["Ta", "Ta", "Ta", "Ta", "Ta", "Ta", "Sb", "Pt"], "fractional_positions": [[0.000, 0.253, 0.500], [0.000, 0.747, 0.500], [0.253, 0.500, 0.000], [0.500, 0.000, 0.253], [0.500, 0.000, 0.747], [0.747, 0.500, 0.000], [0.000, 0.000, 0.000], [0.500, 0.500, 0.500]]}

[10]
{"formula": "TbSbPt", "functional": "PBE-GGA", "state": "optimized geometry", "spacegroup": "F-43m (216)", "energy_ev_per_cell": -18.5, "lattice": [[0.000, 3.304, 3.304], [3.304, 0.000, 3.304], [3.304, 3.304, 0.000]], "species": ["Tb", "Sb", "Pt"], "fractional_positions": [[0.000, 0.000, 0.000], [0.500, 0.500, 0.500], [0.250, 0.250, 0.250]]}

[11]
{"formula": "TbSbPt", "functional": "PBE-GGA", "state": "optimized geometry", "spacegroup": "P-62m (189)", "energy_ev_per_cell": -53.9, "lattice": [[7.453, 0.000, 0.000], [-3.727, 6.455, 0.000], [0.000, 0.000, 4.205]], "species": ["Tb", "Tb", "Tb", "Sb", "Sb", "Sb", "Pt", "Pt", "Pt"], "fractional_positions": [[0.000, 0.607, 0.000], [0.393, 0.393, 0.000], [0.607, 0.000, 0.000], [0.000, 0.273, 0.500], [0.273, 0.000, 0.500], [0.727, 0.727, 0.500], [0.000, 0.000, 0.000], [0.333, 0.667, 0.500], [0.667, 0.333, 0.500]]}

[12]
{"formula": "Tb2SbPt8", "functional": "PBE-GGA", "state": "optimized geometry", "spacegroup": "Amm2 (38)", "energy_ev_per_cell": -69.9, "lattice": [[4.295, 0.000, 0.000], [0.000, 8.753, 2.841], [0.000, -8.753, 2.841]], "species": ["Tb", "Tb", "Sb", "Pt", "Pt", "Pt", "Pt", "Pt", "Pt", "Pt", "Pt"], "fractional_positions": [[0.000, 0.131, 0.869], [0.000, 0.869, 0.131], [0.500, 0.668, 0.668], [0.000, 0.266, 0.672], [0.000, 0.392, 0.392], [0.000, 0.672, 0.266], [0.500, 0.094, 0.094], [0.500, 0.288, 0.522], [0.500, 0.482, 0.963], [0.500, 0.522, 0.288], [0.500, 0.963, 0.482]]}

[13]
{"formula": "TbSbPt", "functional": "PBE-GGA", "state": "optimized geometry", "spacegroup": "P-62m (189)", "energy_ev_per_cell": -49.6, "lattice": [[8.098, 0.000, 0.000], [-4.049, 7.013, 0.000], [0.000, 0.000, 3.698]], "species": ["Tb", "Tb", "Tb", "Sb", "Sb", "Sb", "Pt", "Pt", "Pt"], "fractional_positions": [[0.000, 0.287, 0.000], [0.287, 0.000, 0.000], [0.713, 0.713, 0.000], [0.000, 0.000, 0.500], [0.333, 0.667, 0.000], [0.667, 0.333, 0.000], [0.000, 0.658, 0.500], [0.342, 0.342, 0.500], [0.658, 0.000, 0.500]]}

[14]
{"formula": "SbTePt", "functional": "PBE-GGA", "state": "optimized geometry", "spacegroup": "Pnma (62)", "energy_ev_per_cell": -56.3, "lattice": [[6.512, 0.000, 0.000], [0.000, 4.198, 0.000], [0.000, 0.000, 12.365]], "species": ["Sb", "Sb", "Sb", "Sb", "Te", "Te", "Te", "Te", "Pt", "Pt", "Pt", "Pt"], "fractional_positions": [[0.111, 0.250, 0.112], [0.389, 0.750, 0.612], [0.611, 0.250, 0.388], [0.889, 0.750, 0.888], [0.112, 0.250, 0.361], [0.388, 0.750, 0.861], [0.612, 0.250, 0.139], [0.888, 0.750, 0.639], [0.140, 0.250, 0.886], [0.360, 0.750, 0.386], [0.640, 0.250, 0.614], [0.860, 0.750, 0.114]]}

[15]
{"formula": "SbTePt", "functional": "PBE-GGA", "state": "optimized geometry", "spacegroup": "F-43m (216)", "energy_ev_per_cell": -13.8, "lattice": [[0.000, 3.355, 3.355], [3.355, 0.000, 3.355], [3.355, 3.355, 0.000]], "species": ["Sb", "Te", "Pt"], "fractional_positions": [[0.000, 0.000, 0.000], [0.500, 0.500, 0.500], [0.250, 0.250, 0.250]]}

[16]
{"formula": "TlSbPt2", "functional": "PBE-GGA", "state": "optimized geometry", "spacegroup": "P-6m2 (187)", "energy_ev_per_cell": -19.7, "lattice": [[4.212, 0.000, 0.000], [-2.106, 3.648, 0.000], [0.000, 0.000, 5.543]], "species": ["Tl", "Sb", "Pt", "Pt"], "fractional_positions": [[0.000, 0.000, 0.000], [0.333, 0.667, 0.500], [0.667, 0.333, 0.255], [0.667, 0.333, 0.745]]}

[17]
{"formula": "TmSb2Pt8", "functional": "PBE-GGA", "state": "optimized geometry", "spacegroup": "C2/m (12)", "energy_ev_per_cell": -65.8, "lattice": [[6.355, -2.064, 0.000], [6.355, 2.064, 0.000], [-5.951, 0.000, 7.738]], "species": ["Tm", "Sb", "Sb", "Pt", "Pt", "Pt", "Pt", "Pt", "Pt", "Pt", "Pt"], "fractional_positions": [[0.000, 0.000, 0.000], [0.211, 0.211, 0.814], [0.789, 0.789, 0.186], [0.049, 0.049, 0.360], [0.312, 0.312, 0.644], [0.359, 0.359, 0.397], [0.416, 0.416, 0.128], [0.584, 0.584, 0.872], [0.641, 0.641, 0.603], [0.688, 0.688, 0.356], [0.951, 0.951, 0.640]]}

[18]
{"formula": "U3Sb4Pt3", "functional": "PBE-GGA", "state": "optimized geometry", "spacegroup": "I-43d (220)", "energy_ev_per_cell": -149.1, "lattice": [[-4.873, 4.873, 4.873], [4.873, -4.873, 4.873], [4.873, 4.873, -4.873]], "species": ["U", "U", "U", "U", "U", "U", "Sb", "Sb", "Sb", "Sb", "Sb", "Sb", "Sb", "Sb", "Pt", "Pt", "Pt", "Pt", "Pt", "Pt"], "fractional_positions": [[0.125, 0.750, 0.875], [0.250, 0.625, 0.375], [0.375, 0.250, 0.625], [0.625, 0.375, 0.250], [0.750, 0.875, 0.125], [0.875, 0.125, 0.750], [0.000, 0.321, 0.500], [0.000, 0.821, 0.500], [0.179, 0.179, 0.179], [0.321, 0.500, 0.000], [0.500, 0.000, 0.321], [0.500, 0.000, 0.821], [0.679, 0.679, 0.679], [0.821, 0.500, 0.000], [0.125, 0.875, 0.250], [0.250, 0.125, 0.875], [0.375, 0.625, 0.750], [0.625, 0.750, 0.375], [0.750, 0.375, 0.625], [0.875, 0.250, 0.125]]}

[19]
{"formula": "SbPtW", "functional": "PBE-GGA", "state": "optimized geometry", "spacegroup": "F-43m (216)", "energy_ev_per_cell": -21.2, "lattice": [[0.000, 3.124, 3.124], [3.124, 0.000, 3.124], [3.124, 3.124, 0.000]], "species": ["Sb", "Pt", "W"], "fractional_positions": [[0.000, 0.000, 0.000], [0.750, 0.750, 0.750], [0.250, 0.250, 0.250]]}

[20]
{"formula": "YSb2Pt", "functional": "PBE-GGA", "state": "optimized geometry", "spacegroup": "F-43m (216)", "energy_ev_per_cell": -22.3, "lattice": [[0.000, 3.617, 3.617], [3.617, 0.000, 3.617], [3.617, 3.617, 0.000]], "species": ["Y", "Sb", "Sb", "Pt"], "fractional_positions": [[0.000, 0.000, 0.000], [0.250, 0.250, 0.250], [0.500, 0.500, 0.500], [0.750, 0.750, 0.750]]}

[21]
{"formula": "YSb2Pt8", "functional": "PBE-GGA", "state": "optimized geometry", "spacegroup": "C2/m (12)", "energy_ev_per_cell": -68.2, "lattice": [[6.622, -2.106, 0.000], [6.622, 2.106, 0.000], [-5.947, 0.000, 7.290]], "species": ["Y", "Sb", "Sb", "Pt", "Pt", "Pt", "Pt", "Pt", "Pt", "Pt", "Pt"], "fractional_positions": [[0.000, 0.000, 0.000], [0.424, 0.424, 0.237], [0.576, 0.576, 0.763], [0.072, 0.072, 0.425], [0.256, 0.256, 0.887], [0.285, 0.285, 0.339], [0.353, 0.353, 0.695], [0.647, 0.647, 0.305], [0.715, 0.715, 0.661], [0.744, 0.744, 0.113], [0.928, 0.928, 0.575]]}

[22]
{"formula": "Y2SbPt", "functional": "PBE-GGA", "state": "optimized geometry", "spacegroup": "F-43m (216)", "energy_ev_per_cell": -24.6, "lattice": [[0.000, 3.605, 3.605], [3.605, 0.000, 3.605], [3.605, 3.605, 0.000]], "species": ["Y", "Y", "Sb", "Pt"], "fractional_positions": [[0.000, 0.000, 0.000], [0.250, 0.250, 0.250], [0.500, 0.500, 0.500], [0.750, 0.750, 0.750]]}

[23]
{"formula": "ZrSbPt2", "functional": "PBE-GGA", "state": "optimized geometry", "spacegroup": "F-43m (216)", "energy_ev_per_cell": -26.8, "lattice": [[0.000, 3.334, 3.334], [3.334, 0.000, 3.334], [3.334, 3.334, 0.000]], "species": ["Zr", "Sb", "Pt", "Pt"], "fractional_positions": [[0.000, 0.000, 0.000], [0.750, 0.750, 0.750], [0.250, 0.250, 0.250], [0.500, 0.500, 0.500]]}